An optimized crystal structure of Th3As3N. Source: Alexandria via LeMat-Bulk, functional GGA-PBE.

Calculated values
The value obtained for the energy relative to the elements, uncorrected is -136 kJ per mole of atoms.

Cell and atoms, written as extended XYZ:
```
28
Lattice="4.240 0.000 0.000 0.000 12.140 0.000 0.000 0.000 13.239" Properties=species:S:1:pos:R:3 pbc="T T T"
As 1.060 3.210 2.857
As 1.060 9.280 3.762
As 3.180 8.929 10.382
As 1.060 10.375 13.034
As 3.180 1.765 0.205
As 3.180 5.214 11.805
As 1.060 0.856 5.186
As 1.060 6.926 1.434
As 1.060 4.305 6.825
As 3.180 11.284 8.053
As 3.180 7.834 6.414
As 3.180 2.860 9.477
Th 3.180 10.890 4.972
Th 3.180 5.786 8.678
Th 1.060 7.319 11.591
Th 3.180 3.200 5.015
Th 3.180 11.856 11.181
Th 3.180 9.270 1.605
Th 1.060 6.354 4.561
Th 1.060 8.940 8.224
Th 1.060 1.249 8.267
Th 1.060 2.870 11.634
Th 3.180 4.820 1.648
Th 1.060 0.284 2.058
N 1.060 6.784 9.256
N 3.180 11.425 2.636
N 3.180 5.356 3.983
N 1.060 0.714 10.603
```